(1)
Crystalline SmScAl at its relaxed geometry, computed with GGA-PBE.

- relative energy among the computed polymorphs (eV/atom) = 0.1384
- total DFT energy (no corrections) (eV/cell) = -13.15

```
3
Lattice="0.0000 3.5186 3.5186 3.5186 0.0000 3.5186 3.5186 3.5186 0.0000" Properties=species:S:1:pos:R:3 pbc="T T T"
Sm 0.0000 0.0000 0.0000
Sc 1.7593 1.7593 1.7593
Al 5.2779 5.2779 5.2779
```

(2)
Crystalline SmScAl at its relaxed geometry, computed with GGA-PBE.

- relative energy among the computed polymorphs (eV/atom) = 0.0000
- total DFT energy (no corrections) (eV/cell) = -13.56

```
3
Lattice="0.0000 3.4750 3.4750 3.4750 0.0000 3.4750 3.4750 3.4750 0.0000" Properties=species:S:1:pos:R:3 pbc="T T T"
Sm 0.0000 0.0000 0.0000
Sc 5.2124 5.2124 5.2124
Al 3.4750 3.4750 3.4750
```

(3)
Crystalline Sc2TaAl at its relaxed geometry, computed with GGA-PBE.

- total DFT energy (no corrections) (eV/cell) = -28.09

```
4
Lattice="0.0000 3.3828 3.3828 3.3828 0.0000 3.3828 3.3828 3.3828 0.0000" Properties=species:S:1:pos:R:3 pbc="T T T"
Sc 0.0000 0.0000 0.0000
Sc 1.6914 1.6914 1.6914
Ta 5.0741 5.0741 5.0741
Al 3.3828 3.3828 3.3828
```

(4)
Crystalline ScTaAl2 at its relaxed geometry, computed with GGA-PBE.

- total DFT energy (no corrections) (eV/cell) = -25.18

```
4
Lattice="0.0000 3.2854 3.2854 3.2854 0.0000 3.2854 3.2854 3.2854 0.0000" Properties=species:S:1:pos:R:3 pbc="T T T"
Sc 0.0000 0.0000 0.0000
Ta 1.6427 1.6427 1.6427
Al 3.2854 3.2854 3.2854
Al 4.9281 4.9281 4.9281
```

Please write out number 1 again, unchanged.
Crystalline SmScAl at its relaxed geometry, computed with GGA-PBE.

- relative energy among the computed polymorphs (eV/atom) = 0.1384
- total DFT energy (no corrections) (eV/cell) = -13.15

```
3
Lattice="0.0000 3.5186 3.5186 3.5186 0.0000 3.5186 3.5186 3.5186 0.0000" Properties=species:S:1:pos:R:3 pbc="T T T"
Sm 0.0000 0.0000 0.0000
Sc 1.7593 1.7593 1.7593
Al 5.2779 5.2779 5.2779
```

Q: Look up the total DFT energy (no corrections) of the second one.
A: -13.56 eV/cell

Q: What is the total DFT energy (no corrections) in the second record?
A: -13.56 eV/cell